# 1
The following is a PBE-GGA calculation of an optimized crystal structure of TlGe, from Alexandria via LeMat-Bulk.

## Properties
* DOS at the Fermi energy: 0.46 states/eV/atom

The structure in CIF format:
```
data_TlGe
_cell_length_a 5.055
_cell_length_b 10.434
_cell_length_c 6.241
_cell_angle_alpha 90.00
_cell_angle_beta 90.00
_cell_angle_gamma 90.00
_symmetry_space_group_name_H-M 'P m m n'
_symmetry_Int_Tables_number 59
loop_
_symmetry_equiv_pos_as_xyz
'x,y,z'
'-x,-y,-z'
'-x+1/2,-y+1/2,z'
'x+1/2,y+1/2,-z'
'x+1/2,-y,-z'
'-x+1/2,y,z'
'-x,y+1/2,-z'
'x,-y+1/2,z'
loop_
_atom_site_label
_atom_site_fract_x
_atom_site_fract_y
_atom_site_fract_z
_atom_site_occupancy
Tl1 0.250 0.091 0.084 1
Tl2 0.250 0.750 0.267 1
Ge1 0.250 0.518 0.583 1
Ge2 0.250 0.750 0.774 1
```

# 2
The following is a PBE-GGA calculation of an optimized crystal structure of TlGe, from Alexandria via LeMat-Bulk.

## Properties
* DOS at the Fermi energy: 0.39 states/eV/atom

The structure in CIF format:
```
data_TlGe
_cell_length_a 6.924
_cell_length_b 3.988
_cell_length_c 8.511
_cell_angle_alpha 90.00
_cell_angle_beta 106.59
_cell_angle_gamma 90.00
_symmetry_space_group_name_H-M 'C 1 m 1'
_symmetry_Int_Tables_number 8
loop_
_symmetry_equiv_pos_as_xyz
'x,y,z'
'x,-y,z'
'x+1/2,y+1/2,z'
'x+1/2,-y+1/2,z'
loop_
_atom_site_label
_atom_site_fract_x
_atom_site_fract_y
_atom_site_fract_z
_atom_site_occupancy
Tl1 0.000 0.000 0.000 1
Tl2 0.056 0.500 0.664 1
Ge1 0.299 0.500 0.395 1
Ge2 0.421 0.000 0.266 1
```

# 3
The following is a PBE-GGA calculation of an optimized crystal structure of TlGe, from Alexandria via LeMat-Bulk.

The structure in CIF format:
```
data_TlGe
_cell_length_a 9.966
_cell_length_b 9.966
_cell_length_c 9.966
_cell_angle_alpha 90.00
_cell_angle_beta 90.00
_cell_angle_gamma 90.00
_symmetry_space_group_name_H-M 'I -4 3 m'
_symmetry_Int_Tables_number 217
_symmetry_space_group_name_Hall 'I -4 2 3'
loop_
_atom_site_label
_atom_site_fract_x
_atom_site_fract_y
_atom_site_fract_z
_atom_site_occupancy
Tl1 0.190 0.190 0.810 1
Ge1 0.093 0.093 0.093 1
```

no.,ΔE_f (eV per atom),total DFT energy (no corrections) (eV per cell)
1,0.210,-39.39
2,0.101,-27.12
3,0.380,-49.79